Version a
A plane-wave DFT calculation with PBE was carried out for a relaxed TlN crystal.

Cell lengths 3.729, 3.729, 3.729 Å; angles 60.00, 60.00, 60.00 degrees
Fractional coordinates of all 2 atoms:
Tl 0.000 0.000 0.000
N 0.750 0.750 0.750

***

Version b
A plane-wave DFT calculation with PBE was carried out for a relaxed TlN crystal.

Cell lengths 10.154, 3.622, 6.806 Å; angles 90.00, 90.00, 90.00 degrees
Fractional coordinates of all 12 atoms:
Tl 0.192 0.152 0.305
Tl 0.500 0.563 0.146
Tl 0.692 0.848 0.805
Tl 0.000 0.437 0.646
Tl 0.808 0.152 0.305
Tl 0.308 0.848 0.805
N 0.286 0.636 0.166
N 0.000 0.941 0.414
N 0.500 0.059 0.914
N 0.714 0.636 0.166
N 0.214 0.364 0.666
N 0.786 0.364 0.666

***

Version c
A plane-wave DFT calculation with PBE was carried out for a relaxed TlN crystal.

Cell lengths 6.620, 6.693, 7.516 Å; angles 90.00, 90.00, 90.00 degrees
Fractional coordinates of all 16 atoms:
N 0.631 0.596 0.716
N 0.869 0.404 0.216
N 0.369 0.096 0.784
N 0.640 0.108 0.467
N 0.360 0.608 0.033
N 0.131 0.904 0.284
N 0.860 0.892 0.967
N 0.140 0.392 0.533
Tl 0.813 0.052 0.222
Tl 0.313 0.448 0.778
Tl 0.279 0.072 0.493
Tl 0.221 0.928 0.993
Tl 0.187 0.552 0.278
Tl 0.721 0.572 0.007
Tl 0.779 0.428 0.507
Tl 0.687 0.948 0.722

***

Version d
A plane-wave DFT calculation with PBE was carried out for a relaxed TlN crystal.

Cell lengths 3.401, 3.406, 12.581 Å; angles 80.08, 82.23, 60.05 degrees
Fractional coordinates of all 4 atoms:
N 0.517 0.423 0.543
N 0.483 0.577 0.457
Tl 0.299 0.278 0.123
Tl 0.701 0.722 0.877

***

Which one is the least stable? From the structures above, version b.